# V2CdCl PBE relaxed
data_V2CdCl
_cell_length_a 4.320
_cell_length_b 4.320
_cell_length_c 8.909
_cell_angle_alpha 75.97
_cell_angle_beta 75.97
_cell_angle_gamma 90.00
_space_group_name_H-M_alt 'P 1'
_space_group_IT_number 1
loop_
_space_group_symop_operation_xyz
'x,y,z'
loop_
_atom_site_label
_atom_site_fract_x
_atom_site_fract_y
_atom_site_fract_z
Cd1 0.000 0.000 0.000
Cd2 0.750 0.250 0.500
V1 0.375 0.527 0.750
V2 0.473 0.125 0.250
V3 0.875 0.723 0.750
V4 0.277 0.625 0.250
Cl1 0.250 0.750 0.500
Cl2 0.500 0.500 0.000
# space group: I-42d, No. 122
# energy: -0.1679 Ha/atom
# formation energy without anion corrections: 0.68 eV per atom
# offset from the most stable computed form: 0 meV per atom

---

# Pr6Dy2Er5 PBE relaxed
data_Pr6Dy2Er5
_cell_length_a 3.634
_cell_length_b 11.740
_cell_length_c 20.645
_cell_angle_alpha 90.00
_cell_angle_beta 90.00
_cell_angle_gamma 90.00
_space_group_name_H-M_alt 'P 1'
_space_group_IT_number 1
loop_
_space_group_symop_operation_xyz
'x,y,z'
loop_
_atom_site_label
_atom_site_fract_x
_atom_site_fract_y
_atom_site_fract_z
Dy1 0.000 0.164 0.790
Dy2 0.000 0.336 0.290
Dy3 0.000 0.836 0.210
Dy4 0.000 0.664 0.710
Er1 0.500 0.698 0.556
Er2 0.500 0.406 0.726
Er3 0.500 0.094 0.226
Er4 0.500 0.198 0.944
Er5 0.500 0.594 0.274
Er6 0.500 0.906 0.774
Er7 0.500 0.302 0.444
Er8 0.500 0.802 0.056
Er9 0.500 0.500 0.000
Er10 0.500 0.000 0.500
Pr1 0.000 0.584 0.133
Pr2 0.500 0.673 0.866
Pr3 0.500 0.173 0.634
Pr4 0.000 0.560 0.420
Pr5 0.000 0.060 0.080
Pr6 0.000 0.940 0.920
Pr7 0.500 0.327 0.134
Pr8 0.000 0.440 0.580
Pr9 0.000 0.084 0.367
Pr10 0.000 0.416 0.867
Pr11 0.500 0.827 0.366
Pr12 0.000 0.916 0.633
# space group: Pbam, No. 55
# energy of formation from the pure elements: 105.9 meV per atom
# energy: -0.1677 Ha/atom

---

# UVNi PBE relaxed
data_UVNi
_cell_length_a 3.479
_cell_length_b 3.479
_cell_length_c 4.676
_cell_angle_alpha 111.84
_cell_angle_beta 111.84
_cell_angle_gamma 90.00
_space_group_name_H-M_alt 'P 1'
_space_group_IT_number 1
loop_
_space_group_symop_operation_xyz
'x,y,z'
loop_
_atom_site_label
_atom_site_fract_x
_atom_site_fract_y
_atom_site_fract_z
U1 0.354 0.354 0.708
V1 0.638 0.638 0.277
Ni1 0.008 0.008 0.016
# space group: I4mm, No. 107
# energy of formation from the pure elements: 162.3 meV per atom
# energy: -0.3148 Ha/atom
# offset from the most stable computed form: 76 meV per atom